This record from the Alexandria database describes crystalline TcWC2 at its relaxed geometry. The functional is PBE.

Geometry as extended XYZ:
```
8
Lattice="-3.0767 -3.0043 1.7660 2.4131 -3.5362 -1.8117 2.2129 -3.5560 3.9245" Properties=species:S:1:pos:R:3 pbc="T T T"
C -1.0545 -3.1955 1.8506
C 1.6633 -3.4879 0.0773
C 1.4215 -5.1353 2.9182
Tc -0.3318 -3.2702 -0.0229
W 0.0000 0.0000 0.0000
W -0.5978 -4.9153 2.8338
Tc 2.1471 -5.1813 1.0450
C 1.0684 -8.3744 2.9113
```

Results
Its symmetry is No. 122. The density of states at the Fermi level is 0.9786 states/eV per atom. The calculation puts the offset from the most stable computed form at 0.0 meV per atom. The formation energy is 0.57 eV per atom. For the spin magnetization, the calculation gives 0.00 μB/atom.

=====

This record from the Alexandria database describes crystalline ZrAsF2 at its relaxed geometry. The functional is PBE.

Geometry as extended XYZ:
```
8
Lattice="1.2318 -5.4135 5.8782 2.1708 -0.0345 7.7887 -4.4800 2.9337 -6.0581" Properties=species:S:1:pos:R:3 pbc="T T T"
As 1.7013 -2.7240 6.8335
F 0.6717 -3.6699 4.6270
F 0.4746 -2.9704 9.1264
Zr 0.0000 0.0000 0.0000
As -0.3040 0.0876 4.2820
Zr -0.7735 -2.6019 3.3268
F -2.5998 2.5175 -0.4349
F -0.7014 -0.9059 1.8992
```

Results
Its symmetry is No. 122. The density of states at the Fermi level is 0.5722 states/eV per atom. Its energy relative to the elements, uncorrected is -1.876 eV/atom. The calculation puts the offset from the most stable computed form at 0.0 meV per atom. For the spin magnetization, the calculation gives 0.03 μB/atom.

=====

This record from the Alexandria database describes crystalline Li2InRu at its relaxed geometry. The functional is PBE.

Geometry as extended XYZ:
```
4
Lattice="2.7819 0.0000 0.0000 0.0000 4.1551 0.0000 0.0000 0.0000 5.6519" Properties=species:S:1:pos:R:3 pbc="T T T"
In 1.3909 2.0775 4.1386
Li 1.3909 2.0775 1.4589
Ru 0.0000 0.0000 2.8164
Li 0.0000 0.0000 0.0640
```

Results
Its symmetry is No. 25. The density of states at the Fermi level is 0.5192 states/eV per atom. The formation energy is 0.06 eV per atom. For the spin magnetization, the calculation gives 0.00 μB/atom.

=====

This record from the Alexandria database describes crystalline CsTaReO6 at its relaxed geometry. The functional is PBE.

Geometry as extended XYZ:
```
18
Lattice="7.4569 0.0000 0.0000 0.0000 7.3446 0.0000 -3.7284 -3.6723 5.2411" Properties=species:S:1:pos:R:3 pbc="T T T"
O 5.0773 4.0826 1.3112
O 1.3489 4.0826 3.9299
O -1.3489 4.0826 3.9299
O -1.3489 -0.4103 3.9299
O 0.0000 5.5084 1.9581
O 5.0773 -0.4103 1.3112
O 2.3795 -0.4103 1.3112
Cs 0.0000 1.8361 1.3399
O 0.0000 1.8361 4.7118
O 3.7284 -1.8361 3.2829
O 2.3795 4.0826 1.3112
Re 3.7284 0.0000 0.0000
Re 3.7284 3.6723 0.0000
O 3.7284 1.8361 0.5293
O 1.3489 -0.4103 3.9299
Cs 3.7284 1.8361 3.9012
Ta 1.8642 -1.8361 2.6205
Ta -1.8642 -1.8361 2.6205
```

Results
Its symmetry is No. 74. The density of states at the Fermi level is 0.2326 states/eV per atom. Its energy relative to the elements, uncorrected is -2.185 eV/atom. For the spin magnetization, the calculation gives 0.08 μB/atom.